Dy4Pd2Pt: relaxed, PBE.

Computed properties:
**Formation energy from the elements**: -837 meV per atom
**Theoretical density**: 10.42 g/cm³

Unit cell a=4.9062 b=4.9062 c=24.2729 alpha=90.00 beta=90.00 gamma=120.00
Space group R-3m (No. 166, hexagonal axes)
One atom of each set of equivalent atoms:
Dy: 0.0000 0.0000 0.1245
Dy: 0.0000 0.0000 0.3745
Pd: 0.0000 0.0000 0.2473
Pt: 0.0000 0.0000 0.0000

***

Zr2ScNi: relaxed, PBE.

Computed properties:
**ΔE to the lowest computed polymorph**: 33 meV per atom
**Formation energy from the elements**: -209 meV per atom
**Theoretical density**: 5.80 g/cm³

Unit cell a=6.1552 b=9.3038 c=5.7192 alpha=90.00 beta=90.00 gamma=90.00
Space group Pnma (No. 62)
One atom of each set of equivalent atoms:
Zr: 0.1874 0.0550 0.1649
Sc: 0.0288 0.2500 0.6491
Ni: 0.1084 0.7500 0.9110

***

CeMg6Ni: relaxed, PBE.

Computed properties:
**ΔE to the lowest computed polymorph**: 0 meV per atom
**Formation energy from the elements**: 58 meV per atom
**Theoretical density**: 3.14 g/cm³

Unit cell a=4.8914 b=5.7672 c=12.9061 alpha=90.00 beta=90.00 gamma=90.00
Space group Amm2 (No. 38)
One atom of each set of equivalent atoms:
Ce: 0.0000 0.0000 0.0000
Mg: 0.0000 0.2495 0.2461
Mg: 0.5000 0.0000 0.1587
Mg: 0.5000 0.0000 0.5867
Mg: 0.5000 0.2455 0.3818
Ni: 0.0000 0.0000 0.4282

***

PrDySc2Tl4: relaxed, PBE.

Computed properties:
**Formation energy from the elements**: -295 meV per atom
**Theoretical density**: 9.57 g/cm³

Unit cell a=5.2900 b=5.2900 c=26.0031 alpha=90.00 beta=90.00 gamma=120.00
Space group R-3m (No. 166, hexagonal axes)
One atom of each set of equivalent atoms:
Pr: 0.0000 0.0000 0.0000
Dy: 0.0000 0.0000 0.5000
Sc: 0.0000 0.0000 0.2496
Tl: 0.0000 0.0000 0.1270
Tl: 0.0000 0.0000 0.3773